1.
A geometry-optimized PuCoNi structure, computed with PBE-GGA.

The structure in extended XYZ format:
```
3
Lattice="3.994 0.000 0.000 -1.997 3.459 0.000 0.000 0.000 3.683" Properties=species:S:1:pos:R:3 pbc="T T T"
Pu 0.000 0.000 0.000
Co 1.997 1.153 1.841
Ni 0.000 2.306 1.841
```

ΔE_f: -18 meV per atom
relative energy among the computed polymorphs: 181.3 meV/atom
calculated total energy: -27.3 eV/cell
calculated volume: 50.87 Å³ per cell
mass density: 11.80 g/cm3


2.
A geometry-optimized KH3Br structure, computed with PBE-GGA.

The structure in extended XYZ format:
```
10
Lattice="4.425 0.000 0.000 0.000 6.594 0.000 -2.128 0.000 5.860" Properties=species:S:1:pos:R:3 pbc="T T T"
K 0.091 1.648 1.491
K 2.206 4.945 4.369
H 0.098 1.648 4.046
H 0.084 0.248 5.566
H 0.084 3.049 5.566
H 2.214 3.545 0.294
H 2.214 6.346 0.294
H 2.200 4.945 1.814
Br -0.012 4.945 1.872
Br 2.310 1.648 3.988
```

relative energy among the computed polymorphs: 0.0 meV/atom
calculated total energy: -28.6 eV/cell
calculated volume: 170.99 Å³ per cell
mass density: 2.37 g/cm3


3.
A geometry-optimized HgPdSN2 structure, computed with PBE-GGA.

The structure in extended XYZ format:
```
5
Lattice="3.976 0.000 0.000 0.000 3.976 0.000 0.000 0.000 5.476" Properties=species:S:1:pos:R:3 pbc="T T T"
Hg 0.000 0.000 0.000
Pd 1.988 1.988 2.738
S 1.988 1.988 0.000
N 0.000 1.988 2.738
N 1.988 0.000 2.738
```

relative energy among the computed polymorphs: 0.0 meV/atom
calculated total energy: -19.5 eV/cell
formation energy from raw total energies: 1.36 eV/atom
calculated volume: 86.57 Å³ per cell
mass density: 7.04 g/cm3